Entry 1:
DFT (PBE) results for VPIrCl2 after structural relaxation.

Computed properties:
total DFT energy (no corrections): -4.68 eV/atom
space-group type: No. 123
excess energy over the best structure of this formula in the dataset: 0 meV per atom
N(E_F): 8.49 states/eV/cell

a b c (Å): 4.351 4.351 5.194
angles (deg): 90.00 90.00 90.00
Element x y z (fractional)
V 0.000 0.000 0.000
P 0.000 0.000 0.500
Ir 0.500 0.500 0.500
Cl 0.000 0.500 0.000
Cl 0.500 0.000 0.000

Entry 2:
DFT (PBE) results for SrFe3Sb after structural relaxation.

Computed properties:
total DFT energy (no corrections): -4.23 eV/atom
space-group type: No. 221
excess energy over the best structure of this formula in the dataset: 868 meV per atom
N(E_F): 10.20 states/eV/cell

a b c (Å): 4.823 4.823 4.823
angles (deg): 90.00 90.00 90.00
Element x y z (fractional)
Sr 0.000 0.000 0.000
Fe 0.000 0.000 0.500
Fe 0.000 0.500 0.000
Fe 0.500 0.000 0.000
Sb 0.500 0.500 0.500

Entry 3:
DFT (PBE) results for KZrZn2 after structural relaxation.

Computed properties:
total DFT energy (no corrections): -2.70 eV/atom
energy of formation: 0.346 eV/atom
space-group type: No. 25
excess energy over the best structure of this formula in the dataset: 273 meV per atom
N(E_F): 2.40 states/eV/cell

a b c (Å): 3.000 4.351 7.815
angles (deg): 90.00 90.00 90.00
Element x y z (fractional)
K 0.000 0.000 0.000
Zr 0.500 0.500 0.624
Zn 0.000 0.000 0.479
Zn 0.500 0.500 0.277

| no. | total magnetic moment (μB per cell) |
| --- | --- |
| 1 | 2.1 |
| 2 | 7.7 |
| 3 | 0.0 |